Compound: Rb4Tb3FeO8
Source: Alexandria via LeMat-Bulk
Functional: PBE with a Hubbard U
Structure: optimized geometry

a b c (Å): 6.9009 7.6508 6.9007
angles (deg): 116.82 120.00 90.00
Closest atoms and distances in Å follow each position.
Element x y z (fractional)
Rb 0.5000 0.0000 0.0000  6 O 2.99
Rb 0.5000 0.0000 0.5000  6 O 2.89-2.90
Rb 0.0000 0.0000 0.0000  6 O 2.89-2.90
Rb 0.0000 0.0000 0.5000  6 O 2.89-2.90
Tb 0.5000 0.5000 0.0000  6 O 2.30-2.34
Tb 0.5000 0.5000 0.5000  6 O 2.30-2.34
Tb 0.0000 0.5000 0.5000  6 O 2.30-2.34
Fe 0.0000 0.5000 0.0000  6 O 2.20
O 0.2157 0.6728 0.9571  1 Fe 2.20, 2 Tb 2.34
O 0.2157 0.6728 0.4315  1 Fe 2.20, 2 Tb 2.34
O 0.2743 0.3229 0.5486  3 Tb 2.30
O 0.7414 0.6728 0.9571  1 Fe 2.20, 2 Tb 2.34
O 0.2586 0.3272 0.0429  1 Fe 2.20, 2 Tb 2.34
O 0.7257 0.6771 0.4514  3 Tb 2.30
O 0.7843 0.3272 0.5685  1 Fe 2.20, 2 Tb 2.34
O 0.7843 0.3272 0.0429  1 Fe 2.20, 2 Tb 2.34

Summary:
The calculated total energy comes out at -6.248 eV/atom.